VASP calculation (PBE) on a relaxed Cs2NaTeBr6 crystal.

a b c (Å): 8.064 8.064 14.465
angles (deg): 73.81 73.81 60.00
Atoms (fractional coordinates):
Cs: 0.874 0.874 0.379
Cs: 0.126 0.126 0.621
Cs: 0.705 0.705 0.886
Cs: 0.295 0.295 0.114
Na: 0.582 0.582 0.253
Na: 0.418 0.418 0.747
Te: 0.000 0.000 0.000
Te: 0.500 0.500 0.500
Br: 0.884 0.365 0.385
Br: 0.365 0.884 0.385
Br: 0.365 0.365 0.385
Br: 0.116 0.635 0.615
Br: 0.635 0.116 0.615
Br: 0.635 0.635 0.615
Br: 0.696 0.209 0.886
Br: 0.209 0.696 0.886
Br: 0.209 0.209 0.886
Br: 0.304 0.791 0.114
Br: 0.791 0.304 0.114
Br: 0.791 0.791 0.114

Calculated values
SG = R-3m (166)
Uncorrected formation energy = -1093 meV/atom
Relative energy among the computed polymorphs = 31 meV per atom
Total energy = -2.713 eV/atom